## Co2OF3 (PBE+U)

Data for an optimized crystal structure of Co2OF3.

Cell and atoms, written as POSCAR:
```
Co2OF3
1.0
3.216 -3.399 0.000
3.216 3.399 0.000
0.000 0.000 12.250
Co O F
8 4 12
Cartesian
6.134 0.000 0.000 Co
0.150 0.000 3.049 Co
0.183 0.000 6.125 Co
0.150 0.000 9.200 Co
3.131 0.000 1.529 Co
3.190 0.000 7.661 Co
3.190 0.000 4.589 Co
3.131 0.000 10.721 Co
2.038 0.000 3.048 O
2.038 0.000 9.202 O
2.033 0.000 6.125 O
4.222 0.000 0.000 O
3.130 2.028 1.533 F
3.316 2.063 7.650 F
3.316 2.063 4.600 F
3.130 2.028 10.717 F
1.738 0.000 0.000 F
4.539 0.000 3.083 F
4.566 0.000 6.125 F
4.539 0.000 9.167 F
3.130 -2.028 1.533 F
3.316 -2.063 7.650 F
3.316 -2.063 4.600 F
3.130 -2.028 10.717 F
```

Values from the calculation:
E above lowest polymorph: 0.040 eV per atom
Symmetry: Amm2